# Sn3HgPb12

A relaxed structure of Sn3HgPb12 (PBE, the Alexandria database).

Output
The energy comes out at -3.499 eV/atom. The crystal system is tetragonal. Its formation enthalpy at 0 K is 52 meV/atom. Its density of states at the Fermi level is 10.941 states/eV/cell.

Cell lengths 5.995, 5.995, 13.729 Å; angles 90.00, 90.00, 90.00 degrees
Fractional coordinates of all 16 atoms:
Sn (0.000, 0.000, 0.000)
Sn (0.000, 0.000, 0.255)
Sn (0.000, 0.000, 0.745)
Hg (0.000, 0.000, 0.500)
Pb (0.000, 0.500, 0.125)
Pb (0.000, 0.500, 0.371)
Pb (0.000, 0.500, 0.629)
Pb (0.000, 0.500, 0.875)
Pb (0.500, 0.000, 0.125)
Pb (0.500, 0.000, 0.371)
Pb (0.500, 0.000, 0.629)
Pb (0.500, 0.000, 0.875)
Pb (0.500, 0.500, 0.000)
Pb (0.500, 0.500, 0.251)
Pb (0.500, 0.500, 0.500)
Pb (0.500, 0.500, 0.749)

***

# RhWBr2

A relaxed structure of RhWBr2 (PBE, the Alexandria database).

Output
The energy comes out at -5.182 eV/atom. The crystal system is orthorhombic. The energy above the most stable polymorph in this dataset is 658.3 meV per atom. Its density of states at the Fermi level is 4.344 states/eV/cell.

Cell lengths 6.554, 6.554, 6.554 Å; angles 153.02, 137.90, 50.72 degrees
Fractional coordinates of all 4 atoms:
Rh (0.000, 0.000, 0.000)
W (0.170, 0.670, 0.500)
Br (0.360, 0.360, 0.000)
Br (0.650, 0.150, 0.500)

***

# Ac8SiBi4Te3

A relaxed structure of Ac8SiBi4Te3 (PBE, the Alexandria database).

Output
The energy comes out at -5.118 eV/atom. The crystal system is trigonal. Its density of states at the Fermi level is 3.878 states/eV/cell.

Cell lengths 9.575, 9.575, 9.575 Å; angles 60.21, 60.21, 60.21 degrees
Fractional coordinates of all 16 atoms:
Ac (0.238, 0.760, 0.760)
Ac (0.240, 0.240, 0.762)
Ac (0.240, 0.762, 0.240)
Ac (0.249, 0.249, 0.249)
Ac (0.751, 0.751, 0.751)
Ac (0.760, 0.238, 0.760)
Ac (0.760, 0.760, 0.238)
Ac (0.762, 0.240, 0.240)
Si (0.000, 0.000, 0.000)
Bi (0.000, 0.000, 0.500)
Bi (0.000, 0.500, 0.000)
Bi (0.500, 0.000, 0.000)
Bi (0.500, 0.500, 0.500)
Te (0.000, 0.500, 0.500)
Te (0.500, 0.000, 0.500)
Te (0.500, 0.500, 0.000)